Below is crystalline BeTcPt3 at its relaxed geometry, with properties calculated at the GGA-PBE level.

The value obtained for the formation enthalpy at 0 K is 1.54 eV per atom. The value obtained for the energy above the most stable polymorph in this dataset is 1266 meV/atom. Its total magnetization is 0.00 μB/f.u.

The structure belongs to space group Pm-3m (No. 221); the cell edges are 4.785, 4.785 and 4.785 Å and the angles 90.00°, 90.00° and 90.00°. The distinct sites, in fractional coordinates, are Be at (0.000, 0.000, 0.000), Tc at (0.500, 0.500, 0.500) and Pt at (0.000, 0.500, 0.500).

Below is crystalline K3HfNb at its relaxed geometry, with properties calculated at the GGA-PBE level.

The value obtained for the formation enthalpy at 0 K is 2.14 eV per atom. The value obtained for the energy above the most stable polymorph in this dataset is 0 meV/atom. Its total magnetization is 5.25 μB/f.u.

The structure belongs to space group Pm-3m (No. 221); the cell edges are 6.468, 6.468 and 6.468 Å and the angles 90.00°, 90.00° and 90.00°. The distinct sites, in fractional coordinates, are K at (0.000, 0.000, 0.500), Hf at (0.500, 0.500, 0.500) and Nb at (0.000, 0.000, 0.000).

Below is crystalline YCo2As at its relaxed geometry, with properties calculated at the GGA-PBE level.

The value obtained for the formation enthalpy at 0 K is -0.29 eV per atom. Its total magnetization is 0.00 μB/f.u.

The structure belongs to space group P4mm (No. 99); the cell edges are 3.827, 3.827 and 4.686 Å and the angles 90.00°, 90.00° and 90.00°. The distinct sites, in fractional coordinates, are Y at (0.000, 0.000, 0.000), Co at (0.000, 0.500, 0.553) and As at (0.500, 0.500, 0.293).

Below is crystalline PmHgF3 at its relaxed geometry, with properties calculated at the GGA-PBE level.

For the energy relative to the elements, uncorrected, the calculation gives -3.11 eV per atom. The value obtained for the energy above the most stable polymorph in this dataset is 23 meV/atom. Its total magnetization is 0.00 μB/f.u.

The structure belongs to space group R-3 (No. 148, hexagonal axes); the cell edges are 6.3924, 6.3924 and 22.1905 Å and the angles 90.00°, 90.00° and 120.00°. The distinct sites, in fractional coordinates, are Pm at (0.0000, 0.0000, 0.1812), Hg at (0.0000, 0.0000, 0.3416) and F at (0.0312, 0.6290, 0.5491).

Below is crystalline Mg2ScSe at its relaxed geometry, with properties calculated at the GGA-PBE level.

For the energy relative to the elements, uncorrected, the calculation gives -0.21 eV per atom. Its total magnetization is 0.00 μB/f.u.

The structure belongs to space group F-43m (No. 216); the cell edges are 7.040, 7.040 and 7.040 Å and the angles 90.00°, 90.00° and 90.00°. The distinct sites, in fractional coordinates, are Mg at (0.000, 0.000, 0.000), Mg at (0.250, 0.250, 0.250), Sc at (0.000, 0.000, 0.500) and Se at (0.250, 0.250, 0.750).

Below is crystalline MnZnN at its relaxed geometry, with properties calculated at the GGA-PBE level.

For the energy relative to the elements, uncorrected, the calculation gives -0.04 eV per atom. The value obtained for the energy above the most stable polymorph in this dataset is 107 meV/atom. Its total magnetization is 0.98 μB/f.u.

The structure belongs to space group Cm (No. 8); the cell edges are 10.003, 2.650 and 5.386 Å and the angles 90.00°, 114.01° and 90.00°. The distinct sites, in fractional coordinates, are Mn at (0.000, 0.000, 0.000), Mn at (0.234, 0.000, 0.925), Zn at (0.230, 0.500, 0.357), Zn at (0.477, 0.000, 0.396), N at (0.068, 0.500, 0.813) and N at (0.307, 0.500, 0.763).

Below is crystalline RbAcHgSb at its relaxed geometry, with properties calculated at the GGA-PBE level.

For the energy relative to the elements, uncorrected, the calculation gives -0.44 eV per atom. Its total magnetization is 0.00 μB/f.u.

The structure belongs to space group F-43m (No. 216); the cell edges are 8.281, 8.281 and 8.281 Å and the angles 90.00°, 90.00° and 90.00°. The distinct sites, in fractional coordinates, are Rb at (0.000, 0.000, 0.000), Ac at (0.000, 0.000, 0.500), Hg at (0.250, 0.250, 0.750) and Sb at (0.250, 0.250, 0.250).

Below is crystalline Sr2PbSe at its relaxed geometry, with properties calculated at the GGA-PBE level.

For the energy relative to the elements, uncorrected, the calculation gives -0.32 eV per atom. The value obtained for the energy above the most stable polymorph in this dataset is 879 meV/atom. Its total magnetization is 0.01 μB/f.u.

The structure belongs to space group F-43m (No. 216); the cell edges are 8.060, 8.060 and 8.060 Å and the angles 90.00°, 90.00° and 90.00°. The distinct sites, in fractional coordinates, are Sr at (0.000, 0.000, 0.000), Sr at (0.250, 0.250, 0.250), Pb at (0.000, 0.000, 0.500) and Se at (0.250, 0.250, 0.750).

Which formula does entry 4 have? PmHgF3

Copy entry 5 word for word.
Below is crystalline Mg2ScSe at its relaxed geometry, with properties calculated at the GGA-PBE level.

For the energy relative to the elements, uncorrected, the calculation gives -0.21 eV per atom. Its total magnetization is 0.00 μB/f.u.

The structure belongs to space group F-43m (No. 216); the cell edges are 7.040, 7.040 and 7.040 Å and the angles 90.00°, 90.00° and 90.00°. The distinct sites, in fractional coordinates, are Mg at (0.000, 0.000, 0.000), Mg at (0.250, 0.250, 0.250), Sc at (0.000, 0.000, 0.500) and Se at (0.250, 0.250, 0.750).

Look up the total magnetization of the third one. 0.00 μB/f.u.

total magnetization of number 8 (Sr2PbSe)? 0.01 μB/f.u.